(1)
## RbSb2Te4Au (PBE-GGA)

Data for a relaxed structure of RbSb2Te4Au.

Cell and atoms, written as POSCAR:
```
RbSb2Te4Au
1.0
4.641 0.000 0.000
-2.321 7.212 0.000
0.000 0.000 16.878
Rb Sb Te Au
2 4 8 2
Direct
0.118 0.236 0.750 Rb
0.882 0.764 0.250 Rb
0.366 0.731 0.557 Sb
0.634 0.269 0.057 Sb
0.634 0.269 0.443 Sb
0.366 0.731 0.943 Sb
0.268 0.536 0.099 Te
0.732 0.464 0.599 Te
0.732 0.464 0.901 Te
0.268 0.536 0.401 Te
0.000 0.000 0.500 Te
0.000 0.000 0.000 Te
0.422 0.844 0.750 Te
0.578 0.156 0.250 Te
0.836 0.673 0.750 Au
0.164 0.327 0.250 Au
```

Results
Its calculated volume is 565 Å³ per cell. The value obtained for the uncorrected formation energy is -0.2662 eV per atom. The value obtained for the raw total energy is -3.398 eV/atom. The calculation puts the density of states at the Fermi level at 0.437 states/eV/atom.

(2)
## Rb2Tl4SbAu3 (PBE-GGA)

Data for a relaxed structure of Rb2Tl4SbAu3.

Cell and atoms, written as POSCAR:
```
Rb2Tl4SbAu3
1.0
5.382 0.000 0.000
0.000 5.382 0.000
0.000 0.000 11.085
Rb Tl Sb Au
2 4 1 3
Direct
0.500 0.000 0.259 Rb
0.000 0.500 0.741 Rb
0.500 0.500 0.000 Tl
0.000 0.000 0.000 Tl
0.500 0.000 0.636 Tl
0.000 0.500 0.364 Tl
0.500 0.500 0.500 Sb
0.000 0.000 0.500 Au
0.500 0.000 0.895 Au
0.000 0.500 0.105 Au
```

Results
Its calculated volume is 321 Å³ per cell. The value obtained for the uncorrected formation energy is -0.1553 eV per atom. The value obtained for the raw total energy is -2.691 eV/atom. The calculation puts the density of states at the Fermi level at 0.344 states/eV/atom.

(3)
## Rb3Tl4Sb2Au2 (PBE-GGA)

Data for a relaxed structure of Rb3Tl4Sb2Au2.

Cell and atoms, written as POSCAR:
```
Rb3Tl4Sb2Au2
1.0
5.226 0.000 0.000
-2.613 4.526 0.000
0.000 0.000 18.156
Rb Tl Sb Au
3 4 2 2
Direct
0.000 0.000 0.706 Rb
0.000 0.000 0.000 Rb
0.000 0.000 0.294 Rb
0.667 0.333 0.147 Tl
0.333 0.667 0.853 Tl
0.667 0.333 0.564 Tl
0.333 0.667 0.436 Tl
0.667 0.333 0.854 Sb
0.333 0.667 0.146 Sb
0.667 0.333 0.405 Au
0.333 0.667 0.595 Au
```

Results
Its calculated volume is 429 Å³ per cell. The value obtained for the uncorrected formation energy is -0.1529 eV per atom. The value obtained for the raw total energy is -2.623 eV/atom. The calculation puts the density of states at the Fermi level at 0.230 states/eV/atom.

(4)
## RbTlSbAu2 (PBE-GGA)

Data for a relaxed structure of RbTlSbAu2.

Cell and atoms, written as POSCAR:
```
RbTlSbAu2
1.0
5.391 0.000 0.000
0.000 5.391 0.000
0.000 0.000 6.057
Sb Tl Au Rb
1 1 2 1
Direct
0.000 0.000 0.000 Sb
0.000 0.000 0.500 Tl
0.000 0.500 0.000 Au
0.500 0.000 0.000 Au
0.500 0.500 0.500 Rb
```

Results
Its calculated volume is 176 Å³ per cell. The value obtained for the uncorrected formation energy is -0.0069 eV per atom. The value obtained for the raw total energy is -2.809 eV/atom. The calculation puts the density of states at the Fermi level at 0.284 states/eV/atom.

(5)
## Rb2Tl6SbAu (PBE-GGA)

Data for a relaxed structure of Rb2Tl6SbAu.

Cell and atoms, written as POSCAR:
```
Rb2Tl6SbAu
1.0
-0.443 -0.628 8.457
7.122 -0.338 4.612
2.218 12.546 5.311
Rb Tl Sb Au
4 12 2 2
Direct
0.850 0.850 0.449 Rb
0.150 0.150 0.551 Rb
0.711 0.711 0.866 Rb
0.289 0.289 0.134 Rb
0.835 0.413 0.340 Tl
0.413 0.835 0.340 Tl
0.413 0.413 0.340 Tl
0.165 0.587 0.660 Tl
0.587 0.165 0.660 Tl
0.587 0.587 0.660 Tl
0.803 0.187 0.822 Tl
0.187 0.803 0.822 Tl
0.187 0.187 0.822 Tl
0.197 0.813 0.178 Tl
0.813 0.197 0.178 Tl
0.813 0.813 0.178 Tl
0.619 0.619 0.143 Sb
0.381 0.381 0.857 Sb
0.000 0.000 0.000 Au
0.500 0.500 0.500 Au
```

Results
Its calculated volume is 806 Å³ per cell. The value obtained for the uncorrected formation energy is -0.0569 eV per atom. The value obtained for the raw total energy is -2.410 eV/atom. The calculation puts the density of states at the Fermi level at 0.418 states/eV/atom.

(6)
## Rb2TlSb4Au3 (PBE-GGA)

Data for a relaxed structure of Rb2TlSb4Au3.

Cell and atoms, written as POSCAR:
```
Rb2TlSb4Au3
1.0
5.059 0.000 0.000
0.000 5.059 0.000
0.000 0.000 11.440
Rb Tl Sb Au
2 1 4 3
Direct
0.500 0.000 0.251 Rb
0.000 0.500 0.749 Rb
0.500 0.500 0.500 Tl
0.500 0.500 0.000 Sb
0.000 0.000 0.000 Sb
0.500 0.000 0.640 Sb
0.000 0.500 0.360 Sb
0.000 0.000 0.500 Au
0.500 0.000 0.883 Au
0.000 0.500 0.117 Au
```

Results
Its calculated volume is 293 Å³ per cell. The value obtained for the uncorrected formation energy is -0.2364 eV per atom. The value obtained for the raw total energy is -3.299 eV/atom. The calculation puts the density of states at the Fermi level at 0.418 states/eV/atom.

(7)
## RbTmSb2Au2 (PBE-GGA)

Data for a relaxed structure of RbTmSb2Au2.

Cell and atoms, written as POSCAR:
```
RbTmSb2Au2
1.0
4.658 0.000 0.000
-2.329 4.034 0.000
0.000 0.000 9.483
Rb Tm Sb Au
1 1 2 2
Direct
0.000 0.000 0.000 Rb
0.000 0.000 0.500 Tm
0.667 0.333 0.281 Sb
0.333 0.667 0.719 Sb
0.667 0.333 0.658 Au
0.333 0.667 0.342 Au
```

Results
Its calculated volume is 178 Å³ per cell. The value obtained for the uncorrected formation energy is -0.6712 eV per atom. The value obtained for the raw total energy is -4.044 eV/atom. The calculation puts the density of states at the Fermi level at 0.310 states/eV/atom.

(8)
## Rb2TmSb4Au3 (PBE-GGA)

Data for a relaxed structure of Rb2TmSb4Au3.

Cell and atoms, written as POSCAR:
```
Rb2TmSb4Au3
1.0
4.871 0.000 0.000
0.000 4.871 0.000
0.000 0.000 12.194
Rb Tm Sb Au
2 1 4 3
Direct
0.500 0.000 0.244 Rb
0.000 0.500 0.756 Rb
0.500 0.500 0.500 Tm
0.500 0.500 0.000 Sb
0.000 0.000 0.000 Sb
0.500 0.000 0.640 Sb
0.000 0.500 0.360 Sb
0.000 0.000 0.500 Au
0.500 0.000 0.874 Au
0.000 0.500 0.126 Au
```

Results
Its calculated volume is 289 Å³ per cell. The value obtained for the uncorrected formation energy is -0.4461 eV per atom. The value obtained for the raw total energy is -3.719 eV/atom. The calculation puts the density of states at the Fermi level at 0.225 states/eV/atom.

(9)
## Rb2YSb4Au3 (PBE-GGA)

Data for a relaxed structure of Rb2YSb4Au3.

Cell and atoms, written as POSCAR:
```
Rb2YSb4Au3
1.0
4.888 0.000 0.000
0.000 4.888 0.000
0.000 0.000 12.220
Rb Y Sb Au
2 1 4 3
Direct
0.500 0.000 0.242 Rb
0.000 0.500 0.758 Rb
0.500 0.500 0.500 Y
0.500 0.500 0.000 Sb
0.000 0.000 0.000 Sb
0.500 0.000 0.642 Sb
0.000 0.500 0.358 Sb
0.000 0.000 0.500 Au
0.500 0.000 0.876 Au
0.000 0.500 0.124 Au
```

Results
Its calculated volume is 292 Å³ per cell. The value obtained for the uncorrected formation energy is -0.4591 eV per atom. The value obtained for the raw total energy is -3.931 eV/atom. The calculation puts the density of states at the Fermi level at 0.231 states/eV/atom.

(10)
## RbZnSb2Au (PBE-GGA)

Data for a relaxed structure of RbZnSb2Au.

Cell and atoms, written as POSCAR:
```
RbZnSb2Au
1.0
-2.136 -3.756 -2.569
2.163 -3.335 3.077
-4.483 3.771 3.133
Rb Zn Sb Au
1 1 2 1
Direct
0.000 0.000 0.000 Rb
0.250 0.750 0.500 Zn
0.633 0.633 0.266 Sb
0.367 0.367 0.734 Sb
0.750 0.250 0.500 Au
```

Results
Its calculated volume is 142 Å³ per cell. The value obtained for the uncorrected formation energy is -0.2276 eV per atom. The value obtained for the raw total energy is -2.980 eV/atom. The calculation puts the density of states at the Fermi level at 0.221 states/eV/atom.

(11)
## Rb2ScAu (PBE-GGA)

Data for a relaxed structure of Rb2ScAu.

Cell and atoms, written as POSCAR:
```
Rb2ScAu
1.0
12.656 0.000 0.000
0.000 12.656 0.000
6.328 6.328 2.652
Sc Au Rb
2 2 4
Direct
0.500 0.500 0.000 Sc
0.250 0.750 0.500 Sc
0.000 0.000 0.000 Au
0.750 0.250 0.500 Au
0.773 0.125 0.250 Rb
0.977 0.625 0.250 Rb
0.375 0.227 0.750 Rb
0.875 0.023 0.750 Rb
```

Results
Its calculated volume is 425 Å³ per cell. Its formation enthalpy at 0 K is 26.1 kJ per mole of atoms. The value obtained for the raw total energy is -2.616 eV/atom. The calculation puts the density of states at the Fermi level at 1.312 states/eV/atom.

(12)
## RbScAu2 (PBE-GGA)

Data for a relaxed structure of RbScAu2.

Cell and atoms, written as POSCAR:
```
RbScAu2
1.0
-0.336 3.248 4.054
-4.584 2.116 1.267
-2.448 -1.501 4.341
Sc Au Rb
1 2 1
Direct
0.000 0.000 0.000 Sc
0.250 0.250 0.250 Au
0.750 0.750 0.750 Au
0.500 0.500 0.500 Rb
```

Results
Its calculated volume is 100 Å³ per cell. Its formation enthalpy at 0 K is -1.0 kJ per mole of atoms. The value obtained for the raw total energy is -3.474 eV/atom. The calculation puts the density of states at the Fermi level at 1.017 states/eV/atom.

(13)
## RbScAu2 (PBE-GGA)

Data for a relaxed structure of RbScAu2.

Cell and atoms, written as POSCAR:
```
RbScAu2
1.0
-5.850 -4.816 2.868
5.495 -5.747 1.557
0.348 -3.828 5.725
Sc Au Rb
2 4 2
Direct
0.500 0.500 0.000 Sc
0.250 0.750 0.500 Sc
0.556 0.125 0.250 Au
0.194 0.625 0.250 Au
0.375 0.444 0.750 Au
0.875 0.806 0.750 Au
0.000 0.000 0.000 Rb
0.750 0.250 0.500 Rb
```

Results
Its calculated volume is 252 Å³ per cell. Its formation enthalpy at 0 K is -6.6 kJ per mole of atoms. The value obtained for the raw total energy is -3.532 eV/atom. The calculation puts the density of states at the Fermi level at 0.768 states/eV/atom.

(14)
## RbScAu3 (PBE-GGA)

Data for a relaxed structure of RbScAu3.

Cell and atoms, written as POSCAR:
```
RbScAu3
1.0
-2.480 -4.054 2.497
3.161 -3.507 -2.554
3.560 0.291 4.007
Sc Au Rb
1 3 1
Direct
0.000 0.000 0.000 Sc
0.000 0.500 0.000 Au
0.000 0.000 0.500 Au
0.500 0.000 0.000 Au
0.500 0.500 0.500 Rb
```

Results
Its calculated volume is 155 Å³ per cell. Its formation enthalpy at 0 K is -13.3 kJ per mole of atoms. The value obtained for the raw total energy is -3.564 eV/atom. The calculation puts the density of states at the Fermi level at 0.768 states/eV/atom.

(15)
## Rb2ScAu (PBE-GGA)

Data for a relaxed structure of Rb2ScAu.

Cell and atoms, written as POSCAR:
```
Rb2ScAu
1.0
-2.601 -3.604 4.217
-6.070 -0.835 -0.006
-2.345 -5.421 -1.629
Sc Au Rb
1 1 2
Direct
0.000 0.000 0.000 Sc
0.500 0.500 0.500 Au
0.250 0.250 0.250 Rb
0.750 0.750 0.750 Rb
```

Results
Its calculated volume is 163 Å³ per cell. Its formation enthalpy at 0 K is 59.8 kJ per mole of atoms. The value obtained for the raw total energy is -2.266 eV/atom. The calculation puts the density of states at the Fermi level at 1.456 states/eV/atom.

(16)
## RbSc2Au2 (PBE-GGA)

Data for a relaxed structure of RbSc2Au2.

Cell and atoms, written as POSCAR:
```
RbSc2Au2
1.0
8.518 0.000 0.000
0.000 8.518 0.000
0.000 0.000 3.258
Sc Au Rb
4 4 2
Direct
0.366 0.866 0.000 Sc
0.866 0.634 0.000 Sc
0.634 0.134 0.000 Sc
0.134 0.366 0.000 Sc
0.153 0.653 0.500 Au
0.653 0.847 0.500 Au
0.847 0.347 0.500 Au
0.347 0.153 0.500 Au
0.000 0.000 0.000 Rb
0.500 0.500 0.000 Rb
```

Results
Its calculated volume is 236 Å³ per cell. Its formation enthalpy at 0 K is -29.5 kJ per mole of atoms. The value obtained for the raw total energy is -4.343 eV/atom. The calculation puts the density of states at the Fermi level at 0.656 states/eV/atom.

(17)
## RbScAu2 (PBE-GGA)

Data for a relaxed structure of RbScAu2.

Cell and atoms, written as POSCAR:
```
RbScAu2
1.0
3.537 0.000 0.000
0.000 3.537 0.000
0.000 0.000 8.347
Sc Au Rb
1 2 1
Direct
0.500 0.500 0.000 Sc
0.000 0.000 0.824 Au
0.000 0.000 0.176 Au
0.500 0.500 0.500 Rb
```

Results
Its calculated volume is 104 Å³ per cell. Its formation enthalpy at 0 K is -45.3 kJ per mole of atoms. The value obtained for the raw total energy is -3.933 eV/atom. The calculation puts the density of states at the Fermi level at 0.729 states/eV/atom.

(18)
## RbScAu3 (PBE-GGA)

Data for a relaxed structure of RbScAu3.

Cell and atoms, written as POSCAR:
```
RbScAu3
1.0
5.642 0.000 0.000
0.000 5.642 0.000
0.000 0.000 5.642
Sc Au Rb
1 3 1
Direct
0.500 0.500 0.500 Sc
0.000 0.500 0.000 Au
0.000 0.000 0.500 Au
0.500 0.000 0.000 Au
0.000 0.000 0.000 Rb
```

Results
Its calculated volume is 180 Å³ per cell. Its formation enthalpy at 0 K is 105.7 kJ per mole of atoms. The value obtained for the raw total energy is -2.330 eV/atom. The calculation puts the density of states at the Fermi level at 1.831 states/eV/atom.

(19)
## Rb2ScAuSe (PBE-GGA)

Data for a relaxed structure of Rb2ScAuSe.

Cell and atoms, written as POSCAR:
```
Rb2ScAuSe
1.0
-1.584 -6.529 -0.016
3.037 -0.727 -3.960
5.125 -1.253 4.160
Sc Au Se Rb
1 1 1 2
Direct
0.500 0.500 0.500 Sc
0.000 0.000 0.000 Au
0.000 0.500 0.000 Se
0.000 0.000 0.500 Rb
0.500 0.000 0.000 Rb
```

Results
Its calculated volume is 228 Å³ per cell. The value obtained for the uncorrected formation energy is 0.2748 eV per atom. The value obtained for the raw total energy is -2.731 eV/atom. The calculation puts the density of states at the Fermi level at 1.512 states/eV/atom.

(20)
## RbSc2Te4Au (PBE-GGA)

Data for a relaxed structure of RbSc2Te4Au.

Cell and atoms, written as POSCAR:
```
RbSc2Te4Au
1.0
4.123 0.000 0.000
-2.062 8.549 0.000
0.000 0.000 15.663
Rb Sc Te Au
2 4 8 2
Direct
0.174 0.348 0.750 Rb
0.826 0.652 0.250 Rb
0.408 0.816 0.593 Sc
0.592 0.184 0.093 Sc
0.592 0.184 0.407 Sc
0.408 0.816 0.907 Sc
0.210 0.419 0.101 Te
0.790 0.581 0.601 Te
0.790 0.581 0.899 Te
0.210 0.419 0.399 Te
0.000 0.000 0.500 Te
0.000 0.000 0.000 Te
0.491 0.982 0.750 Te
0.509 0.018 0.250 Te
0.876 0.752 0.750 Au
0.124 0.248 0.250 Au
```

Results
Its calculated volume is 552 Å³ per cell. The value obtained for the uncorrected formation energy is -0.9733 eV per atom. The value obtained for the raw total energy is -4.658 eV/atom.